# PBE La7P5S, optimized geometry
data_La7P5S
_chemical_formula_sum 'La28 P20 S4'
_space_group_name_H-M_alt 'C 1 m 1'
_space_group_IT_number 8
_cell_length_a 14.032
_cell_length_b 4.220
_cell_length_c 24.807
_cell_angle_alpha 90.00
_cell_angle_beta 90.07
_cell_angle_gamma 90.00
loop_
_space_group_symop_operation_xyz
'x,y,z'
'x,-y,z'
'x+1/2,y+1/2,z'
'x+1/2,-y+1/2,z'
loop_
_atom_site_label
_atom_site_fract_x
_atom_site_fract_y
_atom_site_fract_z
_atom_site_occupancy
La1 0.000 0.000 0.000 1
La2 0.000 0.000 0.145 1
La3 0.044 0.500 0.287 1
La4 0.044 0.500 0.858 1
La5 0.095 0.000 0.717 1
La6 0.096 0.000 0.428 1
La7 0.133 0.500 0.573 1
La8 0.230 0.500 0.073 1
La9 0.267 0.000 0.217 1
La10 0.268 0.000 0.928 1
La11 0.319 0.500 0.787 1
La12 0.320 0.500 0.359 1
La13 0.363 0.000 0.645 1
La14 0.364 0.000 0.500 1
P1 0.134 0.500 0.175 1
P2 0.134 0.500 0.970 1
P3 0.182 0.000 0.323 1
P4 0.182 0.000 0.823 1
P5 0.229 0.500 0.675 1
P6 0.230 0.500 0.470 1
P7 0.408 0.500 0.247 1
P8 0.408 0.500 0.898 1
P9 0.455 0.000 0.747 1
P10 0.456 0.000 0.398 1
S1 0.382 0.000 0.072 1
S2 0.482 0.500 0.574 1
# Crystal system: monoclinic
# Raw total energy, eV per cell: -341.5
# Formation energy from raw total energies, eV per atom: -1.516
# Size of the total moment, μB per cell: 3.7
# ρ, kg/m3: 5242
# N(E_F), states/eV/f.u.: 5.97



# PBE TlAgHgBi, optimized geometry
data_TlAgHgBi
_chemical_formula_sum 'Tl4 Ag4 Hg4 Bi4'
_space_group_name_H-M_alt 'F -4 3 m'
_space_group_IT_number 216
_space_group_name_Hall 'F -4 2 3'
_cell_length_a 7.510
_cell_length_b 7.510
_cell_length_c 7.510
_cell_angle_alpha 90.00
_cell_angle_beta 90.00
_cell_angle_gamma 90.00
loop_
_atom_site_label
_atom_site_fract_x
_atom_site_fract_y
_atom_site_fract_z
_atom_site_occupancy
Tl1 0.000 0.000 0.000 1
Ag1 0.250 0.250 0.250 1
Hg1 0.250 0.250 0.750 1
Bi1 0.000 0.000 0.500 1
# Crystal system: cubic
# Raw total energy, eV per cell: -35.8
# Size of the total moment, μB per cell: 0.0
# ρ, kg/m3: 11320
# N(E_F), states/eV/f.u.: 2.30
# E_form, eV/f.u.: 0.451



# PBE HoZnPb, optimized geometry
data_HoZnPb
_chemical_formula_sum 'Ho1 Zn1 Pb1'
_space_group_name_H-M_alt 'P 3 m 1'
_space_group_IT_number 156
_cell_length_a 4.6002
_cell_length_b 4.6002
_cell_length_c 3.9834
_cell_angle_alpha 90.00
_cell_angle_beta 90.00
_cell_angle_gamma 120.00
loop_
_space_group_symop_operation_xyz
'x,y,z'
'-y,x-y,z'
'-x+y,-x,z'
'-y,-x,z'
'-x+y,y,z'
'x,x-y,z'
loop_
_atom_site_label
_atom_site_fract_x
_atom_site_fract_y
_atom_site_fract_z
_atom_site_occupancy
Ho1 0.0000 0.0000 0.0000 1
Zn1 0.3333 0.6667 0.3462 1
Pb1 0.6667 0.3333 0.5592 1
# Crystal system: trigonal
# Raw total energy, eV per cell: -10.4
# Size of the total moment, μB per cell: 0.0
# ρ, kg/m3: 9953
# N(E_F), states/eV/f.u.: 1.07
# E_form, eV/f.u.: -0.872